Computed, not measured: an optimized crystal structure of Th4Zr2Sc3 at the GGA-PBE level of DFT.

Cell and atoms, written as extended XYZ:
```
18
Lattice="6.389 -0.557 -2.121 -0.631 6.744 1.288 -2.345 0.726 12.532" Properties=species:S:1:pos:R:3 pbc="T T T"
Th 2.793 -0.080 2.217
Th -0.294 5.135 1.000
Th 0.621 6.993 9.483
Th 3.708 1.777 10.699
Th -1.290 2.120 6.636
Th 1.153 3.777 9.154
Th 4.703 4.793 5.063
Th 2.260 3.136 2.545
Zr 0.862 0.970 4.674
Zr -1.738 4.588 10.547
Zr 2.552 5.943 7.026
Zr 5.151 2.324 1.152
Sc 4.853 5.667 1.846
Sc 0.563 5.488 12.279
Sc -1.440 1.245 9.853
Sc 2.850 1.425 -0.580
Sc 0.667 4.346 5.200
Sc 2.747 2.567 6.499
```

Output
- Crystal system: triclinic
- Energy of formation from the pure elements: 0.12 eV/atom
- Size of the total moment: 0.0 μB per cell
- V: 499 Å³/cell
- Electronic total energy: -129.4 eV/cell
- SG: No. 2

Computed, not measured: an optimized crystal structure of Dy4Mg2N at the GGA-PBE level of DFT.

Cell and atoms, written as extended XYZ:
```
7
Lattice="4.881 0.000 0.000 0.000 4.881 0.000 2.440 2.440 7.828" Properties=species:S:1:pos:R:3 pbc="T T T"
Mg 4.881 4.881 5.688
Mg 2.440 2.440 2.141
N 0.000 0.000 0.000
Dy 4.881 4.881 2.342
Dy 2.440 2.440 5.486
Dy 0.000 2.440 0.000
Dy 2.440 0.000 0.000
```

Output
- Crystal system: tetragonal
- Size of the total moment: 0.0 μB per cell
- V: 186 Å³/cell
- Electronic total energy: -32.3 eV/cell
- SG: No. 139

Computed, not measured: an optimized crystal structure of GeSb2TeH at the GGA-PBE level of DFT.

Cell and atoms, written as extended XYZ:
```
5
Lattice="-0.489 4.853 -2.343 -1.565 -2.379 -4.602 -5.247 0.266 1.647" Properties=species:S:1:pos:R:3 pbc="T T T"
Sb -0.782 -1.189 -2.301
Sb -0.244 2.427 -1.171
Ge 0.000 0.000 0.000
Te -2.624 0.133 0.823
H -3.650 1.370 -2.649
```

Output
- Crystal system: tetragonal
- Size of the total moment: 0.7 μB per cell
- V: 161 Å³/cell
- Electronic total energy: -14.2 eV/cell
- SG: No. 123

Computed, not measured: an optimized crystal structure of ErMgZnSn at the GGA-PBE level of DFT.

Cell and atoms, written as extended XYZ:
```
4
Lattice="-0.228 3.653 -3.452 -4.465 1.783 -1.485 -1.428 4.637 1.334" Properties=species:S:1:pos:R:3 pbc="T T T"
Mg 0.000 0.000 0.000
Zn -4.591 7.554 -2.703
Sn -1.530 2.518 -0.901
Er -3.060 5.036 -1.802
```

Output
- Crystal system: cubic
- Energy of formation from the pure elements: -0.28 eV/atom
- Size of the total moment: 0.0 μB per cell
- V: 90 Å³/cell
- Electronic total energy: -12.6 eV/cell
- SG: No. 216

Computed, not measured: an optimized crystal structure of Ho3GaCu2 at the GGA-PBE level of DFT.

Cell and atoms, written as extended XYZ:
```
6
Lattice="3.453 0.000 0.000 0.000 3.453 0.000 0.000 0.000 10.692" Properties=species:S:1:pos:R:3 pbc="T T T"
Ho 0.000 0.000 0.000
Ho 0.000 0.000 7.208
Ho 0.000 0.000 3.483
Ga 1.726 1.726 5.346
Cu 1.726 1.726 8.939
Cu 1.726 1.726 1.752
```

Output
- Crystal system: tetragonal
- Energy of formation from the pure elements: -0.37 eV/atom
- Size of the total moment: 0.0 μB per cell
- V: 127 Å³/cell
- Electronic total energy: -27.2 eV/cell
- SG: No. 123

Computed, not measured: an optimized crystal structure of TcGe2As at the GGA-PBE level of DFT.

Cell and atoms, written as extended XYZ:
```
8
Lattice="5.749 0.000 0.000 0.000 5.749 0.000 2.875 2.875 5.692" Properties=species:S:1:pos:R:3 pbc="T T T"
As 2.875 2.875 0.000
As 2.875 5.749 2.846
Ge 4.427 1.437 1.423
Ge 1.323 4.312 1.423
Ge 4.312 4.197 4.269
Ge 7.186 7.301 4.269
Tc 0.000 0.000 0.000
Tc 5.749 2.875 2.846
```

Output
- Crystal system: tetragonal
- Energy of formation from the pure elements: 0.47 eV/atom
- Size of the total moment: 0.0 μB per cell
- V: 188 Å³/cell
- Electronic total energy: -44.7 eV/cell
- SG: No. 122

Computed, not measured: an optimized crystal structure of TiVCrMo at the GGA-PBE level of DFT.

Cell and atoms, written as extended XYZ:
```
4
Lattice="-2.304 3.627 0.390 -3.430 0.107 2.616 0.153 2.270 3.666" Properties=species:S:1:pos:R:3 pbc="T T T"
Cr 0.000 0.000 0.000
Mo -2.790 3.002 3.336
Ti -1.395 1.501 1.668
V -4.185 4.503 5.004
```

Output
- Crystal system: cubic
- Energy of formation from the pure elements: -0.01 eV/atom
- Size of the total moment: 0.0 μB per cell
- V: 57 Å³/cell
- Electronic total energy: -37.5 eV/cell
- SG: No. 216

Computed, not measured: an optimized crystal structure of Pu2AsS at the GGA-PBE level of DFT.

Cell and atoms, written as extended XYZ:
```
4
Lattice="-0.431 -3.895 -1.139 0.362 -2.985 2.759 -6.488 -1.939 1.772" Properties=species:S:1:pos:R:3 pbc="T T T"
As 0.000 0.000 0.000
S -3.278 -4.409 1.696
Pu -1.700 -2.201 0.860
Pu -4.857 -6.617 2.533
```

Output
- Crystal system: trigonal
- Size of the total moment: 10.8 μB per cell
- V: 95 Å³/cell
- Electronic total energy: -43.0 eV/cell
- SG: No. 166

Computed, not measured: an optimized crystal structure of Tl2CrCuTe4 at the GGA-PBE level of DFT.

Cell and atoms, written as extended XYZ:
```
16
Lattice="5.974 0.000 0.000 2.987 7.098 0.000 2.987 0.000 12.155" Properties=species:S:1:pos:R:3 pbc="T T T"
Tl 2.987 0.000 7.655
Tl 5.974 0.000 4.500
Tl 7.468 3.549 10.577
Tl 7.468 3.549 1.577
Cr 7.468 3.549 6.077
Cr 0.000 0.000 0.000
Cu 4.481 3.549 6.077
Cu 2.987 0.000 0.000
Te 4.380 5.629 1.458
Te 4.380 1.470 10.697
Te 10.556 5.629 10.697
Te 4.582 1.470 1.458
Te 6.075 5.019 4.619
Te 6.075 2.080 7.535
Te 8.860 5.019 7.535
Te 2.886 2.080 4.619
```

Output
- Crystal system: orthorhombic
- Size of the total moment: 2.0 μB per cell
- V: 515 Å³/cell
- Electronic total energy: -64.1 eV/cell
- SG: No. 70

Computed, not measured: an optimized crystal structure of KSi2Sb at the GGA-PBE level of DFT.

Cell and atoms, written as extended XYZ:
```
4
Lattice="3.602 0.000 0.000 0.000 3.602 0.000 0.000 0.000 7.551" Properties=species:S:1:pos:R:3 pbc="T T T"
K 0.000 0.000 3.595
Sb 1.801 1.801 6.186
Si 0.000 0.000 0.326
Si 1.801 1.801 1.220
```

Output
- Crystal system: tetragonal
- Size of the total moment: 0.0 μB per cell
- V: 98 Å³/cell
- Electronic total energy: -15.2 eV/cell
- SG: No. 99

Computed, not measured: an optimized crystal structure of RbTl9Pd2 at the GGA-PBE level of DFT.

Cell and atoms, written as extended XYZ:
```
12
Lattice="-2.535 2.796 2.506 -3.346 -7.512 4.997 7.943 4.575 2.931" Properties=species:S:1:pos:R:3 pbc="T T T"
Rb 0.000 0.000 0.000
Tl -2.263 -3.597 5.820
Tl 3.971 2.287 1.465
Tl 2.298 -1.469 3.964
Tl 0.718 -1.881 6.919
Tl 4.324 3.456 4.614
Tl 3.069 0.636 6.489
Tl 1.344 1.739 3.514
Tl -1.673 -3.756 2.498
Tl -1.007 -0.778 3.944
Pd 0.417 -3.483 4.308
Pd 4.180 0.546 3.619
```

Output
- Crystal system: hexagonal
- Energy of formation from the pure elements: -0.09 eV/atom
- Size of the total moment: 0.0 μB per cell
- V: 363 Å³/cell
- Electronic total energy: -33.8 eV/cell
- SG: No. 191

Computed, not measured: an optimized crystal structure of Cs2NpPd2O6 at the GGA-PBE level of DFT.

Cell and atoms, written as extended XYZ:
```
11
Lattice="6.318 0.000 0.000 3.159 5.471 0.000 3.159 1.824 6.280" Properties=species:S:1:pos:R:3 pbc="T T T"
Cs 9.477 5.471 4.064
Cs 3.159 1.824 2.216
Np 0.000 0.000 0.000
Pd 6.318 3.648 4.962
Pd 6.318 3.648 1.318
O 8.065 4.656 1.248
O 4.571 4.656 1.248
O 6.318 1.630 1.248
O 6.318 5.665 5.032
O 8.065 2.639 5.032
O 4.571 2.639 5.032
```

Output
- Crystal system: trigonal
- Size of the total moment: 0.0 μB per cell
- V: 217 Å³/cell
- Electronic total energy: -71.2 eV/cell
- SG: No. 166

Computed, not measured: an optimized crystal structure of ScTiSe2N at the GGA-PBE level of DFT.

Cell and atoms, written as extended XYZ:
```
5
Lattice="-2.760 -1.429 4.079 0.340 -4.896 -1.486 3.294 -0.404 2.087" Properties=species:S:1:pos:R:3 pbc="T T T"
Sc 0.000 0.000 0.000
N 1.647 -0.202 1.044
Se 0.170 -2.448 -0.743
Se -1.380 -0.715 2.039
Ti 0.437 -3.365 2.340
```

Output
- Crystal system: tetragonal
- Size of the total moment: 0.1 μB per cell
- V: 103 Å³/cell
- Electronic total energy: -29.5 eV/cell
- SG: No. 123

Computed, not measured: an optimized crystal structure of Pu2MnCrGe6 at the GGA-PBE level of DFT.

Cell and atoms, written as extended XYZ:
```
20
Lattice="-4.016 -4.162 -2.017 1.860 -4.503 -3.713 1.541 -9.504 7.245" Properties=species:S:1:pos:R:3 pbc="T T T"
Pu -1.356 -11.009 -2.487
Pu 0.740 -7.161 4.002
Pu -0.158 -14.517 2.367
Pu -0.458 -3.652 -0.853
Mn 0.000 0.000 0.000
Mn -0.308 -9.085 0.757
Cr -0.818 -7.591 -1.309
Cr 0.202 -10.578 2.824
Ge -2.503 -9.075 -0.354
Ge 0.947 -9.275 -1.350
Ge -0.145 -6.631 0.830
Ge 1.887 -9.095 1.869
Ge -1.563 -8.895 2.865
Ge -0.471 -11.539 0.685
Ge -1.034 -12.158 4.121
Ge 1.762 -12.320 3.313
Ge 0.877 -10.178 5.080
Ge 0.418 -6.011 -2.606
Ge -2.377 -5.849 -1.799
Ge -1.493 -7.992 -3.565
```

Output
- Crystal system: trigonal
- Energy of formation from the pure elements: -0.20 eV/atom
- Size of the total moment: 2.8 μB per cell
- V: 374 Å³/cell
- Electronic total energy: -154.3 eV/cell
- SG: No. 166

Computed, not measured: an optimized crystal structure of CaDyAsS at the GGA-PBE level of DFT.

Cell and atoms, written as extended XYZ:
```
4
Lattice="-1.040 -3.515 -1.831 0.275 -3.538 2.050 -6.572 -1.599 2.218" Properties=species:S:1:pos:R:3 pbc="T T T"
Ca -3.664 -4.327 1.217
Dy -0.789 -7.050 0.227
As -1.760 -2.172 0.584
S -5.559 -6.483 1.846
```

Output
- Crystal system: trigonal
- Size of the total moment: 0.0 μB per cell
- V: 98 Å³/cell
- Electronic total energy: -22.4 eV/cell
- SG: No. 160

Computed, not measured: an optimized crystal structure of Tl8HgBi2 at the GGA-PBE level of DFT.

Cell and atoms, written as extended XYZ:
```
11
Lattice="5.327 0.000 -1.621 -1.132 6.551 -3.721 0.006 1.013 9.582" Properties=species:S:1:pos:R:3 pbc="T T T"
Tl 2.438 6.013 -1.551
Tl 1.240 4.571 4.075
Tl 0.735 1.499 2.416
Tl -0.308 1.781 -1.011
Tl 3.465 6.065 1.824
Tl 2.960 2.993 0.165
Tl 1.762 1.551 5.791
Tl 4.508 5.784 5.251
Hg 2.663 0.000 -0.811
Bi 0.243 4.926 0.800
Bi 3.957 2.638 3.440
```

Output
- Crystal system: orthorhombic
- Energy of formation from the pure elements: 0.00 eV/atom
- Size of the total moment: 0.0 μB per cell
- V: 356 Å³/cell
- Electronic total energy: -27.0 eV/cell
- SG: No. 71

Computed, not measured: an optimized crystal structure of LaHo5S6 at the GGA-PBE level of DFT.

Cell and atoms, written as extended XYZ:
```
12
Lattice="6.721 0.178 1.029 1.667 5.700 3.325 0.118 0.052 6.818" Properties=species:S:1:pos:R:3 pbc="T T T"
S 5.168 0.640 3.407
S 2.724 3.303 4.513
S 2.142 1.532 1.129
S 6.245 4.347 3.226
S 5.781 2.627 6.659
S 3.337 5.290 7.765
Ho 3.710 1.047 5.663
Ho 0.595 1.918 3.379
Ho 4.194 2.939 2.177
Ho 1.190 3.834 6.764
Ho 4.796 4.883 5.509
La 0.000 0.000 0.000
```

Output
- Crystal system: monoclinic
- Size of the total moment: 0.0 μB per cell
- V: 257 Å³/cell
- Electronic total energy: -76.6 eV/cell
- SG: No. 12

Computed, not measured: an optimized crystal structure of ScCrPd14 at the GGA-PBE level of DFT.

Cell and atoms, written as extended XYZ:
```
16
Lattice="5.587 -0.012 0.000 0.012 5.587 0.000 0.000 0.000 7.920" Properties=species:S:1:pos:R:3 pbc="T T T"
Sc 4.899 4.878 3.960
Cr 2.100 2.091 3.960
Pd 4.899 4.878 0.000
Pd 2.100 2.091 0.000
Pd 4.893 2.085 3.960
Pd 4.893 2.085 0.000
Pd 2.106 4.884 3.960
Pd 2.106 4.884 0.000
Pd 3.483 0.701 2.006
Pd 3.483 0.701 5.914
Pd 0.716 3.480 2.006
Pd 0.716 3.480 5.914
Pd 3.489 3.474 2.006
Pd 3.489 3.474 5.914
Pd 0.711 0.708 2.006
Pd 0.711 0.708 5.914
```

Output
- Crystal system: tetragonal
- Energy of formation from the pure elements: -0.23 eV/atom
- Size of the total moment: 2.7 μB per cell
- V: 247 Å³/cell
- Electronic total energy: -92.3 eV/cell
- SG: No. 123

Computed, not measured: an optimized crystal structure of AlReGe2Sb at the GGA-PBE level of DFT.

Cell and atoms, written as extended XYZ:
```
5
Lattice="5.256 0.000 0.000 0.000 5.053 0.000 0.000 0.000 5.256" Properties=species:S:1:pos:R:3 pbc="T T T"
Re 2.628 2.526 2.628
Ge 0.000 0.000 2.628
Ge 2.628 0.000 0.000
Al 0.000 2.526 0.000
Sb 0.000 0.000 0.000
```

Output
- Crystal system: tetragonal
- Size of the total moment: 3.6 μB per cell
- V: 140 Å³/cell
- Electronic total energy: -20.1 eV/cell
- SG: No. 123

Computed, not measured: an optimized crystal structure of CsYHgSe3 at the GGA-PBE level of DFT.

Cell and atoms, written as extended XYZ:
```
12
Lattice="4.300 0.000 0.000 -2.148 8.183 0.000 0.000 0.000 11.177" Properties=species:S:1:pos:R:3 pbc="T T T"
Cs 2.157 4.007 8.383
Cs -0.004 4.176 2.794
Y 0.000 0.000 5.588
Y 0.000 0.000 0.000
Hg 2.148 0.743 2.794
Hg 0.004 7.439 8.383
Se 2.151 7.189 2.794
Se 0.002 0.994 8.383
Se 0.003 6.244 6.042
Se 0.003 6.244 10.723
Se 2.150 1.939 0.453
Se 2.150 1.939 5.135
```

Output
- Crystal system: monoclinic
- Size of the total moment: 0.0 μB per cell
- V: 393 Å³/cell
- Electronic total energy: -51.1 eV/cell
- SG: No. 11